# TiPdRh2 PBE optimized geometry
data_TiPdRh2
_symmetry_space_group_name_H-M 'I -4 2 d'
_symmetry_Int_Tables_number 122
_symmetry_space_group_name_Hall 'I -4 2bw'
_cell_length_a 3.794
_cell_length_b 3.794
_cell_length_c 17.831
_cell_angle_alpha 90.00
_cell_angle_beta 90.00
_cell_angle_gamma 90.00
loop_
_atom_site_label
_atom_site_fract_x
_atom_site_fract_y
_atom_site_fract_z
Ti1 0.000 0.000 0.000
Pd1 0.000 0.000 0.500
Rh1 0.247 0.250 0.125
# Calculated formation energy: -0.095 eV/atom